A relaxed Ba4AlIr2O10 crystal, computed with PBEsol.

a b c (Å): 5.700 7.243 12.963
angles (deg): 90.00 90.00 113.17
Fractional coordinates of all 34 atoms:
Al (0.887, 0.774, 0.654)
Al (0.113, 0.226, 0.154)
Ba (0.287, 0.573, 0.357)
Ba (0.213, 0.426, 0.638)
Ba (0.507, 0.014, 0.617)
Ba (0.989, 0.978, 0.381)
Ba (0.713, 0.427, 0.857)
Ba (0.493, 0.986, 0.117)
Ba (0.787, 0.574, 0.138)
Ba (0.011, 0.022, 0.881)
Ir (0.630, 0.260, 0.349)
Ir (0.748, 0.495, 0.501)
Ir (0.370, 0.740, 0.849)
Ir (0.252, 0.505, 0.001)
O (0.787, 0.574, 0.349)
O (0.638, 0.715, 0.539)
O (0.131, 0.728, 0.966)
O (0.403, 0.272, 0.466)
O (0.021, 0.042, 0.661)
O (0.112, 0.729, 0.746)
O (0.286, 0.573, 0.149)
O (0.597, 0.728, 0.966)
O (0.618, 0.729, 0.746)
O (0.869, 0.272, 0.466)
O (0.077, 0.715, 0.539)
O (0.362, 0.285, 0.039)
O (0.714, 0.427, 0.649)
O (0.979, 0.958, 0.161)
O (0.516, 0.031, 0.841)
O (0.923, 0.285, 0.039)
O (0.382, 0.271, 0.246)
O (0.888, 0.271, 0.246)
O (0.484, 0.969, 0.341)
O (0.213, 0.426, 0.849)

Calculated values
Fermi-level density of states: 17.69 states/eV per cell
crystal system: orthorhombic
formation energy without anion corrections: -2.098 eV per atom



A relaxed KBaAl2 crystal, computed with PBEsol.

a b c (Å): 4.619 5.368 6.503
angles (deg): 114.38 90.00 90.00
Fractional coordinates of all 4 atoms:
Al (0.000, 0.795, 0.591)
Al (0.500, 0.700, 0.400)
Ba (0.000, 0.104, 0.209)
K (0.500, 0.398, 0.795)

Calculated values
Fermi-level density of states: 3.56 states/eV per cell
crystal system: orthorhombic
formation energy from the elements: 0.099 eV/atom



A relaxed KBa2Al crystal, computed with PBEsol.

a b c (Å): 6.001 6.002 6.001
angles (deg): 60.00 90.00 120.00
Fractional coordinates of all 4 atoms:
K (0.500, 0.000, 0.500)
Ba (0.250, 0.500, 0.250)
Ba (0.000, 0.000, 0.000)
Al (0.750, 0.500, 0.750)

Calculated values
Fermi-level density of states: 1.08 states/eV per cell
crystal system: cubic
formation energy from the elements: 0.182 eV/atom



A relaxed KBa2Al crystal, computed with PBEsol.

a b c (Å): 5.398 5.398 12.874
angles (deg): 102.10 102.10 90.00
Fractional coordinates of all 8 atoms:
Ba (0.849, 0.375, 0.250)
Ba (0.125, 0.151, 0.750)
Ba (0.625, 0.599, 0.750)
Ba (0.401, 0.875, 0.250)
K (0.250, 0.750, 0.500)
K (0.000, 0.000, 0.000)
Al (0.750, 0.250, 0.500)
Al (0.500, 0.500, 0.000)

Calculated values
Fermi-level density of states: 8.50 states/eV per cell
crystal system: tetragonal
formation energy from the elements: 0.398 eV/atom



A relaxed KBa2Al crystal, computed with PBEsol.

a b c (Å): 4.168 4.169 11.035
angles (deg): 90.00 90.06 90.00
Fractional coordinates of all 4 atoms:
K (0.500, 0.500, 0.000)
Al (0.500, 0.500, 0.500)
Ba (0.001, 0.000, 0.670)
Ba (0.999, 0.000, 0.330)

Calculated values
Fermi-level density of states: 2.87 states/eV per cell
crystal system: monoclinic
formation energy from the elements: -0.036 eV/atom



A relaxed KBaAl2Mo crystal, computed with PBEsol.

a b c (Å): 5.106 5.106 5.540
angles (deg): 90.00 90.00 90.00
Fractional coordinates of all 5 atoms:
K (0.500, 0.500, 0.500)
Al (0.500, 0.000, 0.000)
Al (0.000, 0.500, 0.000)
Mo (0.000, 0.000, 0.000)
Ba (0.000, 0.000, 0.500)

Calculated values
Fermi-level density of states: 3.67 states/eV per cell
crystal system: tetragonal
formation energy from the elements: 0.447 eV/atom



A relaxed KBaAl2Tc crystal, computed with PBEsol.

a b c (Å): 5.213 5.972 5.972
angles (deg): 90.00 90.00 90.00
Site moments in Bohr magnetons follow the coordinates.
Fractional coordinates of all 5 atoms:
Al (0.000, 0.000, 0.500)  -0.03
Al (0.000, 0.500, 0.000)  -0.03
Tc (0.500, 0.000, 0.000)  1.94
Ba (0.000, 0.000, 0.000)  -0.13
K (0.500, 0.500, 0.500)  0.00

Calculated values
Fermi-level density of states: 5.46 states/eV per cell
crystal system: tetragonal
formation energy from the elements: 1.663 eV/atom



A relaxed BaLaAl crystal, computed with PBEsol.

a b c (Å): 3.856 3.856 8.365
angles (deg): 90.00 90.00 120.00
Fractional coordinates of all 3 atoms:
La (0.667, 0.333, 0.277)
Ba (0.333, 0.667, 0.710)
Al (0.000, 0.000, 0.012)

Calculated values
Fermi-level density of states: 2.62 states/eV per cell
crystal system: trigonal
formation energy from the elements: 0.113 eV/atom



A relaxed BaLaMg2Al crystal, computed with PBEsol.

a b c (Å): 5.712 5.712 5.774
angles (deg): 90.00 90.00 90.00
Site moments in Bohr magnetons follow the coordinates.
Fractional coordinates of all 5 atoms:
Mg (0.000, 0.500, 0.000)  0.00
Mg (0.500, 0.000, 0.000)  0.00
La (0.000, 0.000, 0.500)  0.10
Al (0.500, 0.500, 0.500)  0.00
Ba (0.000, 0.000, 0.000)  0.09

Calculated values
Fermi-level density of states: 4.85 states/eV per cell
crystal system: tetragonal
formation energy from the elements: 1.210 eV/atom



A relaxed BaLi2Al crystal, computed with PBEsol.

a b c (Å): 3.562 5.258 5.258
angles (deg): 90.00 90.00 90.00
Site moments in Bohr magnetons follow the coordinates.
Fractional coordinates of all 4 atoms:
Li (0.000, 0.000, 0.500)  0.05
Li (0.000, 0.500, 0.000)  0.00
Ba (0.500, 0.000, 0.000)  0.00
Al (0.500, 0.500, 0.500)  0.00

Calculated values
Fermi-level density of states: 2.87 states/eV per cell
crystal system: tetragonal
formation energy from the elements: 0.187 eV/atom



A relaxed BaLi2Al crystal, computed with PBEsol.

a b c (Å): 3.550 4.822 6.707
angles (deg): 90.00 105.27 90.00
Fractional coordinates of all 4 atoms:
Al (0.654, 0.000, 0.437)
Ba (0.293, 0.500, 0.714)
Li (0.990, 0.000, 0.106)
Li (0.563, 0.500, 0.243)

Calculated values
Fermi-level density of states: 2.92 states/eV per cell
crystal system: monoclinic
formation energy from the elements: 0.049 eV/atom



A relaxed BaLi4Al crystal, computed with PBEsol.

a b c (Å): 5.759 5.759 5.759
angles (deg): 60.00 60.00 60.00
Fractional coordinates of all 6 atoms:
Li (0.379, 0.379, 0.863)
Li (0.379, 0.863, 0.379)
Li (0.863, 0.379, 0.379)
Li (0.379, 0.379, 0.379)
Al (0.750, 0.750, 0.750)
Ba (0.000, 0.000, 0.000)

Calculated values
Fermi-level density of states: 3.27 states/eV per cell
crystal system: cubic
formation energy from the elements: -0.025 eV/atom



A relaxed BaLi2Al crystal, computed with PBEsol.

a b c (Å): 4.816 4.818 6.422
angles (deg): 112.03 90.00 119.99
Fractional coordinates of all 4 atoms:
Ba (0.244, 0.488, 0.732)
Li (0.057, 0.115, 0.172)
Li (0.754, 0.509, 0.263)
Al (0.444, 0.889, 0.333)

Calculated values
Fermi-level density of states: 3.62 states/eV per cell
crystal system: trigonal
formation energy from the elements: -0.017 eV/atom



A relaxed BaLi2Al crystal, computed with PBEsol.

a b c (Å): 4.793 4.782 6.175
angles (deg): 113.02 90.00 120.07
Fractional coordinates of all 4 atoms:
Al (0.500, 0.000, 0.000)
Li (0.802, 0.604, 0.906)
Li (0.198, 0.396, 0.094)
Ba (0.000, 0.000, 0.500)

Calculated values
Fermi-level density of states: 3.68 states/eV per cell
crystal system: monoclinic
formation energy from the elements: -0.036 eV/atom



A relaxed Ba6Lu2Al4O15 crystal, computed with PBEsol.

a b c (Å): 5.842 7.767 18.191
angles (deg): 91.75 90.00 90.00
Fractional coordinates of all 54 atoms:
O (0.011, 0.764, 0.006)
O (0.326, 0.312, 0.188)
O (0.989, 0.764, 0.506)
O (0.753, 0.535, 0.410)
O (0.497, 0.235, 0.999)
O (0.761, 0.052, 0.105)
O (0.537, 0.245, 0.834)
O (0.537, 0.755, 0.666)
O (0.497, 0.765, 0.501)
O (0.463, 0.245, 0.334)
O (0.022, 0.271, 0.816)
O (0.247, 0.535, 0.910)
O (0.761, 0.948, 0.395)
O (0.989, 0.236, 0.994)
O (0.790, 0.000, 0.750)
O (0.239, 0.052, 0.605)
O (0.503, 0.765, 0.001)
O (0.247, 0.465, 0.590)
O (0.239, 0.948, 0.895)
O (0.022, 0.729, 0.684)
O (0.326, 0.688, 0.312)
O (0.210, 0.000, 0.250)
O (0.753, 0.465, 0.090)
O (0.503, 0.235, 0.499)
O (0.011, 0.236, 0.494)
O (0.674, 0.312, 0.688)
O (0.463, 0.755, 0.166)
O (0.674, 0.688, 0.812)
O (0.978, 0.271, 0.316)
O (0.978, 0.729, 0.184)
Ba (0.747, 0.972, 0.911)
Ba (0.754, 0.500, 0.920)
Ba (0.754, 0.500, 0.580)
Ba (0.246, 0.500, 0.080)
Ba (0.318, 0.500, 0.750)
Ba (0.253, 0.972, 0.411)
Ba (0.253, 0.028, 0.089)
Ba (0.747, 0.028, 0.589)
Ba (0.246, 0.500, 0.420)
Ba (0.271, 0.000, 0.750)
Ba (0.729, 0.000, 0.250)
Ba (0.682, 0.500, 0.250)
Lu (0.250, 0.752, 0.589)
Lu (0.250, 0.248, 0.911)
Lu (0.750, 0.752, 0.089)
Lu (0.750, 0.248, 0.411)
Al (0.764, 0.223, 0.769)
Al (0.252, 0.753, 0.945)
Al (0.764, 0.777, 0.731)
Al (0.252, 0.247, 0.555)
Al (0.748, 0.247, 0.055)
Al (0.236, 0.777, 0.231)
Al (0.236, 0.223, 0.269)
Al (0.748, 0.753, 0.445)

Calculated values
Fermi-level density of states: 0.00 states/eV per cell
crystal system: monoclinic
formation energy without anion corrections: -3.087 eV per atom



A relaxed BaMn3Al crystal, computed with PBEsol.

a b c (Å): 4.985 4.985 4.985
angles (deg): 90.00 90.00 90.00
Site moments in Bohr magnetons follow the coordinates.
Fractional coordinates of all 5 atoms:
Mn (0.000, 0.000, 0.500)  3.44
Mn (0.000, 0.500, 0.000)  3.44
Mn (0.500, 0.000, 0.000)  3.44
Ba (0.000, 0.000, 0.000)  -0.24
Al (0.500, 0.500, 0.500)  -0.01

Calculated values
Fermi-level density of states: 5.08 states/eV per cell
crystal system: cubic
formation energy from the elements: 2.248 eV/atom



A relaxed Ba2MnAlSb crystal, computed with PBEsol.

a b c (Å): 4.913 5.875 5.875
angles (deg): 90.00 90.00 90.00
Site moments in Bohr magnetons follow the coordinates.
Fractional coordinates of all 5 atoms:
Mn (0.000, 0.000, 0.000)  2.66
Ba (0.000, 0.500, 0.000)  -0.04
Ba (0.000, 0.000, 0.500)  -0.04
Al (0.500, 0.500, 0.500)  0.04
Sb (0.500, 0.000, 0.000)  -0.05

Calculated values
Fermi-level density of states: 5.55 states/eV per cell
crystal system: tetragonal
formation energy without anion corrections: 0.244 eV per atom



A relaxed Ba2AlMo crystal, computed with PBEsol.

a b c (Å): 3.958 5.518 6.458
angles (deg): 115.29 107.85 90.00
Site moments in Bohr magnetons follow the coordinates.
Fractional coordinates of all 4 atoms:
Al (0.196, 0.696, 0.393)  -0.03
Ba (0.776, 0.276, 0.552)  0.00
Ba (0.977, 0.977, 0.953)  -0.02
Mo (0.551, 0.551, 0.102)  1.24

Calculated values
Fermi-level density of states: 3.42 states/eV per cell
crystal system: orthorhombic
formation energy from the elements: 0.598 eV/atom



A relaxed BaAl2Mo crystal, computed with PBEsol.

a b c (Å): 5.174 5.174 9.537
angles (deg): 105.74 105.74 90.00
Site moments in Bohr magnetons follow the coordinates.
Fractional coordinates of all 8 atoms:
Al (0.125, 0.375, 0.750)  -0.01
Al (0.625, 0.375, 0.750)  -0.01
Al (0.625, 0.875, 0.250)  -0.01
Al (0.625, 0.375, 0.250)  -0.01
Mo (0.750, 0.250, 0.500)  1.29
Mo (0.500, 0.500, 0.000)  1.29
Ba (0.000, 0.000, 0.000)  0.02
Ba (0.250, 0.750, 0.500)  0.02

Calculated values
Fermi-level density of states: 10.06 states/eV per cell
crystal system: tetragonal
formation energy from the elements: 0.671 eV/atom



A relaxed BaAl2Mo crystal, computed with PBEsol.

a b c (Å): 2.860 5.369 5.369
angles (deg): 90.00 90.00 90.00
Fractional coordinates of all 4 atoms:
Al (0.000, 0.000, 0.500)
Al (0.000, 0.500, 0.000)
Mo (0.500, 0.000, 0.000)
Ba (0.500, 0.500, 0.500)

Calculated values
Fermi-level density of states: 3.36 states/eV per cell
crystal system: tetragonal
formation energy from the elements: 0.669 eV/atom